Entry 1:
{
  "formula": "KFe3O",
  "functional": "meta-GGA SCAN",
  "state": "PBEsol geometry",
  "raw_formation_energy_mev_per_atom": 2892,
  "volume_a3_per_cell": 79.0,
  "e_tot_ha_per_atom": -0.4005,
  "lattice_angstrom": [[4.290, 0.000, 0.000], [0.000, 4.290, 0.000], [0.000, 0.000, 4.290]],
  "species": ["K", "Fe", "Fe", "Fe", "O"],
  "fractional_positions": [[0.000, 0.000, 0.000], [0.000, 0.000, 0.500], [0.000, 0.500, 0.000], [0.500, 0.000, 0.000], [0.500, 0.500, 0.500]]
}

***

Entry 2:
{
  "formula": "K3FeO2",
  "functional": "meta-GGA SCAN",
  "state": "PBEsol geometry",
  "raw_formation_energy_mev_per_atom": -1282,
  "volume_a3_per_cell": 523.3,
  "e_tot_ha_per_atom": -0.3875,
  "lattice_angstrom": [[6.052, 0.000, 0.000], [0.000, 6.052, 0.000], [0.000, 0.000, 14.285]],
  "species": ["K", "K", "K", "K", "K", "K", "K", "K", "K", "K", "K", "K", "Fe", "Fe", "Fe", "Fe", "O", "O", "O", "O", "O", "O", "O", "O"],
  "fractional_positions": [[0.008, 0.491, 0.125], [0.009, 0.508, 0.375], [0.020, 0.020, 0.500], [0.480, 0.520, 0.750], [0.491, 0.008, 0.875], [0.492, 0.991, 0.125], [0.508, 0.009, 0.625], [0.509, 0.992, 0.375], [0.520, 0.480, 0.250], [0.980, 0.980, 0.000], [0.991, 0.492, 0.875], [0.992, 0.509, 0.625], [0.002, 0.998, 0.250], [0.498, 0.498, 0.000], [0.502, 0.502, 0.500], [0.998, 0.002, 0.750], [0.203, 0.208, 0.746], [0.208, 0.203, 0.254], [0.292, 0.703, 0.996], [0.297, 0.708, 0.504], [0.703, 0.292, 0.004], [0.708, 0.297, 0.496], [0.792, 0.797, 0.754], [0.797, 0.792, 0.246]]
}

***

Entry 3:
{
  "formula": "K2FeP2O7",
  "functional": "meta-GGA SCAN",
  "state": "PBEsol geometry",
  "raw_formation_energy_mev_per_atom": -2372,
  "volume_a3_per_cell": 359.6,
  "e_tot_ha_per_atom": -0.3910,
  "lattice_angstrom": [[8.072, 0.000, 0.000], [0.000, 8.072, 0.000], [0.000, 0.000, 5.519]],
  "species": ["K", "K", "K", "K", "Fe", "Fe", "P", "P", "P", "P", "O", "O", "O", "O", "O", "O", "O", "O", "O", "O", "O", "O", "O", "O"],
  "fractional_positions": [[0.166, 0.334, 0.010], [0.334, 0.834, 0.990], [0.666, 0.166, 0.990], [0.834, 0.666, 0.010], [0.000, 0.000, 0.500], [0.500, 0.500, 0.500], [0.134, 0.634, 0.535], [0.366, 0.134, 0.465], [0.634, 0.866, 0.465], [0.866, 0.366, 0.535], [0.000, 0.500, 0.637], [0.077, 0.796, 0.659], [0.135, 0.635, 0.262], [0.204, 0.077, 0.341], [0.296, 0.577, 0.659], [0.365, 0.135, 0.738], [0.423, 0.296, 0.341], [0.500, 0.000, 0.363], [0.577, 0.704, 0.341], [0.635, 0.865, 0.738], [0.704, 0.423, 0.659], [0.796, 0.923, 0.341], [0.865, 0.365, 0.262], [0.923, 0.204, 0.659]]
}

***

Entry 4:
{
  "formula": "K2FeSnP3O12",
  "functional": "meta-GGA SCAN",
  "state": "PBEsol geometry",
  "raw_formation_energy_mev_per_atom": -2348,
  "volume_a3_per_cell": 991.0,
  "e_tot_ha_per_atom": -0.4280,
  "lattice_angstrom": [[9.970, 0.000, 0.000], [0.000, 9.970, 0.000], [0.000, 0.000, 9.970]],
  "species": ["K", "K", "K", "K", "K", "K", "K", "K", "Fe", "Fe", "Fe", "Fe", "Sn", "Sn", "Sn", "Sn", "P", "P", "P", "P", "P", "P", "P", "P", "P", "P", "P", "P", "O", "O", "O", "O", "O", "O", "O", "O", "O", "O", "O", "O", "O", "O", "O", "O", "O", "O", "O", "O", "O", "O", "O", "O", "O", "O", "O", "O", "O", "O", "O", "O", "O", "O", "O", "O", "O", "O", "O", "O", "O", "O", "O", "O", "O", "O", "O", "O"],
  "fractional_positions": [[0.063, 0.437, 0.563], [0.201, 0.799, 0.299], [0.299, 0.201, 0.799], [0.437, 0.563, 0.063], [0.563, 0.063, 0.437], [0.701, 0.701, 0.701], [0.799, 0.299, 0.201], [0.937, 0.937, 0.937], [0.147, 0.147, 0.147], [0.353, 0.853, 0.647], [0.647, 0.353, 0.853], [0.853, 0.647, 0.353], [0.086, 0.586, 0.914], [0.414, 0.414, 0.414], [0.586, 0.914, 0.086], [0.914, 0.086, 0.586], [0.041, 0.771, 0.624], [0.124, 0.459, 0.229], [0.229, 0.124, 0.459], [0.271, 0.876, 0.959], [0.376, 0.541, 0.729], [0.459, 0.229, 0.124], [0.541, 0.729, 0.376], [0.624, 0.041, 0.771], [0.729, 0.376, 0.541], [0.771, 0.624, 0.041], [0.876, 0.959, 0.271], [0.959, 0.271, 0.876], [0.005, 0.919, 0.657], [0.011, 0.693, 0.757], [0.018, 0.551, 0.291], [0.051, 0.209, 0.982], [0.081, 0.157, 0.495], [0.081, 0.312, 0.241], [0.157, 0.495, 0.081], [0.188, 0.759, 0.581], [0.193, 0.743, 0.989], [0.209, 0.982, 0.051], [0.241, 0.081, 0.312], [0.243, 0.511, 0.807], [0.257, 0.489, 0.307], [0.259, 0.919, 0.812], [0.291, 0.018, 0.551], [0.307, 0.257, 0.489], [0.312, 0.241, 0.081], [0.343, 0.505, 0.581], [0.419, 0.688, 0.741], [0.419, 0.843, 0.995], [0.449, 0.791, 0.482], [0.482, 0.449, 0.791], [0.489, 0.307, 0.257], [0.495, 0.081, 0.157], [0.505, 0.581, 0.343], [0.511, 0.807, 0.243], [0.518, 0.949, 0.709], [0.551, 0.291, 0.018], [0.581, 0.188, 0.759], [0.581, 0.343, 0.505], [0.657, 0.005, 0.919], [0.688, 0.741, 0.419], [0.693, 0.757, 0.011], [0.709, 0.518, 0.949], [0.741, 0.419, 0.688], [0.743, 0.989, 0.193], [0.757, 0.011, 0.693], [0.759, 0.581, 0.188], [0.791, 0.482, 0.449], [0.807, 0.243, 0.511], [0.812, 0.259, 0.919], [0.843, 0.995, 0.419], [0.919, 0.657, 0.005], [0.919, 0.812, 0.259], [0.949, 0.709, 0.518], [0.982, 0.051, 0.209], [0.989, 0.193, 0.743], [0.995, 0.419, 0.843]]
}